(1)
! PBE Li2Pd15Pt2, optimized geometry; values from VASP
! **Total magnetic moment**: 0.00 μB per formula unit
! **Crystal system**: trigonal
! **Energy**: -4.811 eV per atom
&SYSTEM
  ibrav = 0, nat = 19, ntyp = 3
/
ATOMIC_SPECIES
Li 6.94 Li.upf
Pd 106.42 Pd.upf
Pt 195.08 Pt.upf
CELL_PARAMETERS angstrom
6.760 -0.183 1.373
1.086 6.675 1.373
-0.222 -0.183 6.895
ATOMIC_POSITIONS crystal
Li 0.907 0.907 0.907
Li 0.093 0.093 0.093
Pd 0.000 0.500 0.000
Pd 0.000 0.000 0.500
Pd 0.500 0.000 0.000
Pd 0.336 0.000 0.664
Pd 0.664 0.336 0.000
Pd 0.000 0.664 0.336
Pd 0.336 0.664 0.000
Pd 0.000 0.336 0.664
Pd 0.664 0.000 0.336
Pd 0.334 0.833 0.334
Pd 0.334 0.334 0.833
Pd 0.833 0.334 0.334
Pd 0.666 0.167 0.666
Pd 0.666 0.666 0.167
Pd 0.167 0.666 0.666
Pt 0.723 0.723 0.723
Pt 0.277 0.277 0.277

(2)
! PBE Li3Pd2Pt, optimized geometry; values from VASP
! **Total magnetic moment**: 0.00 μB per formula unit
! **Crystal system**: orthorhombic
! **Excess energy over the best structure of this formula in the dataset**: 0.000 eV per atom
&SYSTEM
  ibrav = 0, nat = 12, ntyp = 3
/
ATOMIC_SPECIES
Li 6.94 Li.upf
Pd 106.42 Pd.upf
Pt 195.08 Pt.upf
CELL_PARAMETERS angstrom
4.208 0.000 0.000
0.000 5.976 0.000
-2.104 -2.988 6.304
ATOMIC_POSITIONS crystal
Li 0.500 0.250 0.000
Li 0.500 0.750 0.000
Li 0.835 0.085 0.669
Li 0.165 0.415 0.331
Li 0.165 0.915 0.331
Li 0.835 0.585 0.669
Pd 0.333 0.333 0.666
Pd 0.667 0.167 0.334
Pd 0.333 0.833 0.666
Pd 0.667 0.667 0.334
Pt 0.000 0.500 0.000
Pt 0.000 0.000 0.000

(3)
! PBE Li5Pd2Pt, optimized geometry; values from VASP
! **Total magnetic moment**: 0.00 μB per formula unit
! **Crystal system**: tetragonal
! **Excess energy over the best structure of this formula in the dataset**: 0.008 eV per atom
&SYSTEM
  ibrav = 0, nat = 8, ntyp = 3
/
ATOMIC_SPECIES
Li 6.94 Li.upf
Pd 106.42 Pd.upf
Pt 195.08 Pt.upf
CELL_PARAMETERS angstrom
4.252 0.000 0.000
0.000 4.252 0.000
-2.126 -2.126 6.061
ATOMIC_POSITIONS crystal
Li 0.500 0.500 0.000
Li 0.871 0.371 0.741
Li 0.371 0.871 0.741
Li 0.129 0.629 0.259
Li 0.629 0.129 0.259
Pd 0.756 0.756 0.511
Pd 0.244 0.244 0.489
Pt 0.000 0.000 0.000

(4)
! PBE LiPd6Pt, optimized geometry; values from VASP
! **Total magnetic moment**: 0.01 μB per formula unit
! **Crystal system**: tetragonal
! **Excess energy over the best structure of this formula in the dataset**: 0.000 eV per atom
&SYSTEM
  ibrav = 0, nat = 8, ntyp = 3
/
ATOMIC_SPECIES
Li 6.94 Li.upf
Pd 106.42 Pd.upf
Pt 195.08 Pt.upf
CELL_PARAMETERS angstrom
-0.106 3.372 -2.170
-5.406 0.380 0.855
0.927 2.946 4.534
ATOMIC_POSITIONS crystal
Li 0.500 0.000 0.000
Pd 0.000 0.751 0.249
Pd 0.000 0.249 0.751
Pd 0.000 0.752 0.752
Pd 0.000 0.248 0.248
Pd 0.500 0.500 0.000
Pd 0.500 0.000 0.500
Pt 0.500 0.500 0.500

(5)
! PBE Li4PdPt, optimized geometry; values from VASP
! **Total magnetic moment**: 0.00 μB per formula unit
! **Crystal system**: orthorhombic
! **Excess energy over the best structure of this formula in the dataset**: 0.000 eV per atom
&SYSTEM
  ibrav = 0, nat = 12, ntyp = 3
/
ATOMIC_SPECIES
Li 6.94 Li.upf
Pd 106.42 Pd.upf
Pt 195.08 Pt.upf
CELL_PARAMETERS angstrom
4.200 -0.001 0.000
0.001 5.107 1.852
-0.001 0.078 7.754
ATOMIC_POSITIONS crystal
Li 0.250 0.798 0.417
Li 0.250 0.960 0.083
Li 0.750 0.715 0.583
Li 0.750 0.543 0.917
Li 0.750 0.202 0.583
Li 0.250 0.285 0.417
Li 0.750 0.040 0.917
Li 0.250 0.457 0.083
Pd 0.750 0.624 0.252
Pd 0.250 0.376 0.748
Pt 0.750 0.126 0.248
Pt 0.250 0.874 0.752

(6)
! PBE LiPd8Pt6, optimized geometry; values from VASP
! **Total magnetic moment**: 0.00 μB per formula unit
! **Crystal system**: trigonal
! **Excess energy over the best structure of this formula in the dataset**: 0.070 eV per atom
&SYSTEM
  ibrav = 0, nat = 15, ntyp = 3
/
ATOMIC_SPECIES
Li 6.94 Li.upf
Pd 106.42 Pd.upf
Pt 195.08 Pt.upf
CELL_PARAMETERS angstrom
-3.485 -2.570 2.121
1.618 -6.029 -4.648
3.634 0.722 6.845
ATOMIC_POSITIONS crystal
Li 0.500 0.000 0.000
Pd 0.927 0.988 0.312
Pd 0.927 0.688 0.675
Pd 0.927 0.325 0.012
Pd 0.073 0.012 0.688
Pd 0.073 0.312 0.325
Pd 0.073 0.675 0.988
Pd 0.906 0.333 0.667
Pd 0.094 0.667 0.333
Pt 0.568 0.688 0.136
Pt 0.568 0.864 0.552
Pt 0.568 0.448 0.312
Pt 0.432 0.312 0.864
Pt 0.432 0.136 0.448
Pt 0.432 0.552 0.688

(7)
! PBE Li2Pd4Pt, optimized geometry; values from VASP
! **Total magnetic moment**: 0.00 μB per formula unit
! **Crystal system**: orthorhombic
! **Excess energy over the best structure of this formula in the dataset**: 0.000 eV per atom
&SYSTEM
  ibrav = 0, nat = 14, ntyp = 3
/
ATOMIC_SPECIES
Li 6.94 Li.upf
Pd 106.42 Pd.upf
Pt 195.08 Pt.upf
CELL_PARAMETERS angstrom
2.851 0.000 0.000
0.000 7.856 0.000
0.000 0.000 9.036
ATOMIC_POSITIONS crystal
Li 0.500 0.994 0.749
Li 0.500 0.006 0.251
Li 0.500 0.494 0.751
Li 0.500 0.506 0.249
Pd 0.000 0.744 0.753
Pd 0.000 0.256 0.247
Pd 0.000 0.244 0.747
Pd 0.000 0.756 0.253
Pd 0.500 0.688 0.502
Pd 0.500 0.312 0.498
Pd 0.500 0.812 0.002
Pd 0.500 0.188 0.998
Pt 0.000 0.000 0.500
Pt 0.000 0.500 0.000

(8)
! PBE Li2Pd8Pt, optimized geometry; values from VASP
! **Total magnetic moment**: 0.00 μB per formula unit
! **Crystal system**: monoclinic
! **Excess energy over the best structure of this formula in the dataset**: 0.002 eV per atom
&SYSTEM
  ibrav = 0, nat = 11, ntyp = 3
/
ATOMIC_SPECIES
Li 6.94 Li.upf
Pd 106.42 Pd.upf
Pt 195.08 Pt.upf
CELL_PARAMETERS angstrom
4.787 -0.016 -0.012
0.154 6.860 1.959
0.154 3.733 6.079
ATOMIC_POSITIONS crystal
Li 0.620 0.745 0.745
Li 0.380 0.255 0.255
Pd 0.411 0.347 0.847
Pd 0.589 0.153 0.653
Pd 0.119 0.795 0.795
Pd 0.881 0.205 0.205
Pd 0.411 0.847 0.347
Pd 0.589 0.653 0.153
Pd 0.912 0.596 0.596
Pd 0.088 0.404 0.404
Pt 0.000 0.000 0.000

Which formula does entry 4 have? LiPd6Pt